(P)
HfCoAs2Se | the Alexandria database | PBE-GGA | relaxed; crystal system = tetragonal; symmetry = P4/mmm, No. 123
1.0
-1.326 3.233 2.780
-3.001 -2.776 1.796
3.300 -1.455 3.265
Co As Hf Se
1 2 1 1
direct
0.000 0.000 0.000
0.000 0.500 0.000
0.500 0.000 0.000
0.500 0.500 0.500
0.000 0.000 0.500

(Q)
HfCoAs2Se | the Alexandria database | PBE-GGA | relaxed; crystal system = tetragonal; symmetry = P4/mmm, No. 123
1.0
5.140 0.000 0.000
0.000 5.140 0.000
0.000 0.000 5.084
Co As Hf Se
1 2 1 1
direct
0.500 0.500 0.500
0.000 0.500 0.000
0.500 0.000 0.000
0.000 0.000 0.000
0.000 0.000 0.500

The most stable arrangement is (P), and the next structure is 0.403 eV/atom less stable.

(P)
Co2HgAs | the Alexandria database | PBE-GGA | relaxed; crystal system = trigonal; symmetry = R3m, No. 160
1.0
-2.026 8.868 -1.674
-2.713 7.750 -4.258
-4.650 7.714 -2.102
As Co Hg
1 2 1
direct
0.726 0.726 0.726
0.997 0.997 0.997
0.265 0.265 0.265
0.512 0.512 0.512

(Q)
Co2HgAs | the Alexandria database | PBE-GGA | relaxed; crystal system = orthorhombic; symmetry = Cmmm, No. 65
1.0
-2.555 -1.380 0.377
0.974 -2.235 -1.623
2.393 -2.935 5.479
As Co Hg
1 2 1
direct
0.500 0.500 0.750
0.000 0.000 0.948
0.000 0.000 0.552
0.500 0.500 0.250

(R)
Co2HgAs | the Alexandria database | PBE-GGA | relaxed; crystal system = tetragonal; symmetry = P4/mmm, No. 123
1.0
4.362 0.000 0.000
0.000 4.360 0.000
0.000 0.000 3.076
As Co Hg
1 2 1
direct
0.000 0.500 0.500
0.000 0.000 0.000
0.500 0.500 0.000
0.500 0.000 0.500

(S)
Co2HgAs | the Alexandria database | PBE-GGA | relaxed; crystal system = cubic; symmetry = F-43m, No. 216
1.0
4.435 0.000 0.000
2.218 3.841 0.000
2.218 1.280 3.622
As Co Hg
1 2 1
direct
0.500 0.500 0.500
0.000 0.000 0.000
0.250 0.250 0.250
0.750 0.750 0.750

The most stable arrangement is (Q), and the next structure is 0.151 eV/atom less stable.

(P)
Co2HgAs | the Alexandria database | PBE-GGA | relaxed; crystal system = orthorhombic; symmetry = Immm, No. 71
1.0
4.595 -0.001 -0.001
0.748 4.534 0.001
-2.159 -2.870 2.866
As Co Hg
1 2 1
direct
0.250 0.750 0.500
0.048 0.048 0.000
0.452 0.452 0.000
0.750 0.250 0.500

(Q)
Co2HgAs | the Alexandria database | PBE-GGA | relaxed; crystal system = tetragonal; symmetry = I-42d, No. 122
1.0
-0.762 -3.189 -5.809
5.617 -3.414 1.137
0.938 -5.318 -1.034
As Co Hg
2 4 2
direct
0.500 0.500 0.000
0.250 0.750 0.500
0.573 0.125 0.250
0.177 0.625 0.250
0.375 0.427 0.750
0.875 0.823 0.750
0.000 0.000 0.000
0.750 0.250 0.500

The most stable arrangement is (P), and the next structure is 0.061 eV/atom less stable.

(P)
Co2HgAs | the Alexandria database | PBE-GGA | relaxed; crystal system = monoclinic; symmetry = Cm, No. 8
1.0
-1.247 1.929 3.029
-3.609 1.186 0.148
-1.577 -5.120 2.614
As Co Hg
1 2 1
direct
0.626 0.626 0.888
0.959 0.959 0.040
0.292 0.292 0.138
0.624 0.624 0.434

(Q)
Co2HgAs | the Alexandria database | PBE-GGA | relaxed; crystal system = tetragonal; symmetry = P4mm, No. 99
1.0
-2.137 -0.185 -1.959
0.314 -2.887 -0.070
-5.182 -0.702 5.717
As Co Hg
1 2 1
direct
0.500 0.500 0.838
0.000 0.000 0.020
0.500 0.500 0.197
0.000 0.000 0.445

The most stable arrangement is (Q), and the next structure is 0.036 eV/atom less stable.

(P)
CoHg3As | the Alexandria database | PBE-GGA | relaxed; crystal system = cubic; symmetry = Pm-3m, No. 221
1.0
5.329 0.000 0.000
0.000 5.329 0.000
0.000 0.000 5.329
As Co Hg
1 1 3
direct
0.000 0.000 0.000
0.500 0.500 0.500
0.000 0.500 0.000
0.000 0.000 0.500
0.500 0.000 0.000

(Q)
CoHg3As | the Alexandria database | PBE-GGA | relaxed; crystal system = cubic; symmetry = Pm-3m, No. 221
1.0
-4.431 1.642 1.640
-2.179 -4.160 -1.722
0.799 -2.240 4.400
As Co Hg
1 1 3
direct
0.500 0.500 0.500
0.000 0.000 0.000
0.000 0.500 0.000
0.000 0.000 0.500
0.500 0.000 0.000

The most stable arrangement is (Q), and the next structure is 0.224 eV/atom less stable.

(P)
CoHgAs | the Alexandria database | PBE-GGA | relaxed; crystal system = trigonal; symmetry = P3m1, No. 156
1.0
3.171 0.000 0.000
-1.585 2.746 0.000
0.000 0.000 6.285
As Co Hg
1 1 1
direct
0.000 0.000 0.076
0.667 0.333 0.297
0.333 0.667 0.627

(Q)
CoHgAs | the Alexandria database | PBE-GGA | relaxed; crystal system = trigonal; symmetry = P3m1, No. 156
1.0
-0.703 -1.120 -3.707
1.468 -2.575 2.589
-3.775 -1.098 1.048
As Co Hg
1 1 1
direct
0.000 0.000 0.191
0.667 0.333 0.125
0.333 0.667 0.684

The most stable arrangement is (P), and the next structure is 0.176 eV/atom less stable.

(P)
CoHgAs | the Alexandria database | PBE-GGA | relaxed; crystal system = cubic; symmetry = F-43m, No. 216
1.0
-3.617 0.666 2.137
-2.145 -3.293 1.628
-0.121 -0.586 4.211
As Co Hg
1 1 1
direct
0.500 0.500 0.500
0.250 0.250 0.250
0.000 0.000 0.000

(Q)
CoHgAs | the Alexandria database | PBE-GGA | relaxed; crystal system = tetragonal; symmetry = I4mm, No. 107
1.0
-4.463 -4.562 1.858
-4.061 -5.174 -0.958
1.672 -2.266 0.731
As Co Hg
1 1 1
direct
0.955 0.955 0.045
0.352 0.352 0.648
0.693 0.693 0.307

The most stable arrangement is (Q), and the next structure is 0.165 eV/atom less stable.

(P)
Co2HgAs2 | the Alexandria database | PBE-GGA | relaxed; crystal system = tetragonal; symmetry = I4/mmm, No. 139
1.0
4.167 0.000 0.000
0.000 4.167 0.000
2.083 2.083 4.728
As Co Hg
2 2 1
direct
0.365 0.365 0.270
0.635 0.635 0.730
0.750 0.250 0.500
0.250 0.750 0.500
0.000 0.000 0.000

(Q)
Co2HgAs2 | the Alexandria database | PBE-GGA | relaxed; crystal system = tetragonal; symmetry = I4/mmm, No. 139
1.0
3.837 0.000 0.000
0.000 3.837 0.000
1.919 1.919 5.513
As Co Hg
2 2 1
direct
0.750 0.250 0.500
0.250 0.750 0.500
0.378 0.378 0.244
0.622 0.622 0.756
0.000 0.000 0.000

The most stable arrangement is (P), and the next structure is 0.142 eV/atom less stable.

(P)
CoAsI3 | the Alexandria database | PBE-GGA | relaxed; crystal system = cubic; symmetry = Pm-3m, No. 221
1.0
-1.220 1.462 -5.370
2.454 -4.793 -1.862
-4.995 -2.711 0.397
I As Co
3 1 1
direct
0.000 0.500 0.000
0.000 0.000 0.500
0.500 0.000 0.000
0.000 0.000 0.000
0.500 0.500 0.500

(Q)
CoAsI3 | the Alexandria database | PBE-GGA | relaxed; crystal system = cubic; symmetry = Pm-3m, No. 221
1.0
5.171 0.000 0.000
0.000 5.171 0.000
0.000 0.000 5.171
I As Co
3 1 1
direct
0.000 0.500 0.000
0.000 0.000 0.500
0.500 0.000 0.000
0.500 0.500 0.500
0.000 0.000 0.000

The most stable arrangement is (Q), and the next structure is 0.240 eV/atom less stable.

(P)
Co3AsI | the Alexandria database | PBE-GGA | relaxed; crystal system = cubic; symmetry = Pm-3m, No. 221
1.0
-1.492 -1.452 -3.946
3.638 -2.544 -0.440
-2.107 -3.365 2.035
I As Co
1 1 3
direct
0.500 0.500 0.500
0.000 0.000 0.000
0.000 0.500 0.000
0.000 0.000 0.500
0.500 0.000 0.000

(Q)
Co3AsI | the Alexandria database | PBE-GGA | relaxed; crystal system = cubic; symmetry = Pm-3m, No. 221
1.0
4.621 0.000 0.000
0.000 4.621 0.000
0.000 0.000 4.621
I As Co
1 1 3
direct
0.000 0.000 0.000
0.500 0.500 0.500
0.000 0.500 0.000
0.000 0.000 0.500
0.500 0.000 0.000

The most stable arrangement is (P), and the next structure is 0.659 eV/atom less stable.

(P)
CoAsIN2 | the Alexandria database | PBE-GGA | relaxed; crystal system = tetragonal; symmetry = P4/mmm, No. 123
1.0
3.725 0.000 0.000
0.000 3.725 0.000
0.000 0.000 7.177
I As Co N
1 1 1 2
direct
0.000 0.000 0.500
0.000 0.000 0.000
0.500 0.500 0.500
0.000 0.500 0.000
0.500 0.000 0.000

(Q)
CoAsIN2 | the Alexandria database | PBE-GGA | relaxed; crystal system = tetragonal; symmetry = P4/mmm, No. 123
1.0
3.717 0.000 0.000
0.000 3.717 0.000
0.000 0.000 7.465
I As Co N
1 1 1 2
direct
0.000 0.000 0.500
0.500 0.500 0.500
0.000 0.000 0.000
0.000 0.500 0.000
0.500 0.000 0.000

The most stable arrangement is (Q), and the next structure is 0.050 eV/atom less stable.

(P)
CoSbAsI2 | the Alexandria database | PBE-GGA | relaxed; crystal system = tetragonal; symmetry = P4/mmm, No. 123
1.0
5.182 0.000 0.000
0.000 5.182 0.000
0.000 0.000 4.897
I Sb As Co
2 1 1 1
direct
0.000 0.500 0.000
0.500 0.000 0.000
0.000 0.000 0.500
0.500 0.500 0.500
0.000 0.000 0.000

(Q)
CoSbAsI2 | the Alexandria database | PBE-GGA | relaxed; crystal system = tetragonal; symmetry = P4/mmm, No. 123
1.0
5.586 0.000 0.000
0.000 5.586 0.000
0.000 0.000 5.588
I Sb As Co
2 1 1 1
direct
0.000 0.500 0.000
0.500 0.000 0.000
0.000 0.000 0.500
0.000 0.000 0.000
0.500 0.500 0.500

The most stable arrangement is (P), and the next structure is 0.454 eV/atom less stable.

(P)
CoSb2AsI | the Alexandria database | PBE-GGA | relaxed; crystal system = tetragonal; symmetry = P4/mmm, No. 123
1.0
-0.303 -4.857 0.695
3.002 0.367 3.875
-4.108 0.702 3.115
I Sb As Co
1 2 1 1
direct
0.000 0.000 0.500
0.000 0.500 0.000
0.500 0.000 0.000
0.500 0.500 0.500
0.000 0.000 0.000

(Q)
CoSb2AsI | the Alexandria database | PBE-GGA | relaxed; crystal system = tetragonal; symmetry = P4/mmm, No. 123
1.0
-0.791 4.028 3.506
-4.934 -1.906 1.077
2.074 -3.097 4.026
I Sb As Co
1 2 1 1
direct
0.000 0.000 0.500
0.000 0.500 0.000
0.500 0.000 0.000
0.000 0.000 0.000
0.500 0.500 0.500

The most stable arrangement is (P), and the next structure is 0.677 eV/atom less stable.

(P)
CoTe2AsI | the Alexandria database | PBE-GGA | relaxed; crystal system = tetragonal; symmetry = P4/mmm, No. 123
1.0
-4.912 0.651 -0.420
-0.774 -4.079 2.738
0.015 2.897 4.320
I As Te Co
1 1 2 1
direct
0.000 0.000 0.500
0.500 0.500 0.500
0.000 0.500 0.000
0.500 0.000 0.000
0.000 0.000 0.000

(Q)
CoTe2AsI | the Alexandria database | PBE-GGA | relaxed; crystal system = tetragonal; symmetry = P4/mmm, No. 123
1.0
-2.719 -0.007 4.792
3.208 -4.095 1.815
3.540 3.666 2.014
I As Te Co
1 1 2 1
direct
0.000 0.000 0.500
0.000 0.000 0.000
0.000 0.500 0.000
0.500 0.000 0.000
0.500 0.500 0.500

The most stable arrangement is (P), and the next structure is 0.467 eV/atom less stable.